Entry 1:
Material: Hf2TaC
Method: DFT, PBE-GGA
State: relaxed

Unit cell a=8.1565 b=8.1565 c=6.1636 alpha=48.57 beta=48.57 gamma=90.00
Fractional positions:
Hf  0.4929  0.1250  0.2500
Hf  0.2571  0.6250  0.2500
C  0.2500  0.7500  0.5000
Hf  0.8750  0.7429  0.7500
Ta  0.0000  0.0000  0.0000
C  0.5000  0.5000  0.0000
Hf  0.3750  0.5071  0.7500
Ta  0.7500  0.2500  0.5000

Properties
M_tot in μB per atom: 0.0000
E_form in meV/atom: 145
D(E_F) in states/eV/cell: 9.3

---

Entry 2:
Material: HfTaC2
Method: DFT, PBE-GGA
State: relaxed

Unit cell a=4.9423 b=4.9423 c=6.0315 alpha=65.81 beta=65.81 gamma=90.00
Fractional positions:
C  0.1072  0.6250  0.2500
Ta  0.7500  0.2500  0.5000
C  0.3750  0.3572  0.7500
Hf  0.2500  0.7500  0.5000
Hf  0.5000  0.5000  0.0000
Ta  0.0000  0.0000  0.0000
C  0.6428  0.1250  0.2500
C  0.8750  0.8928  0.7500

Properties
M_tot in μB per atom: 0.0000
E_form in meV/atom: -222
ΔE to the lowest computed polymorph in meV/atom: 584
D(E_F) in states/eV/cell: 2.6

---

Entry 3:
Material: Hf2TaC
Method: DFT, PBE-GGA
State: relaxed

Unit cell a=3.1591 b=3.1591 c=8.4625 alpha=79.24 beta=79.24 gamma=60.00
Fractional positions:
C  0.5000  0.5000  0.5000
Ta  0.0000  0.0000  0.0000
Hf  0.8854  0.8854  0.3437
Hf  0.1146  0.1146  0.6563

Properties
M_tot in μB per atom: 0.1474
E_form in meV/atom: -65
D(E_F) in states/eV/cell: 3.1

---

Entry 4:
Material: HfTaC
Method: DFT, PBE-GGA
State: relaxed

Unit cell a=3.1849 b=3.1849 c=5.1414 alpha=90.00 beta=90.00 gamma=120.00
Fractional positions:
C  0.6667  0.3333  0.3421
Hf  0.0000  0.0000  0.0792
Ta  0.3333  0.6667  0.5788

Properties
M_tot in μB per atom: 0.0022
E_form in meV/atom: -589
ΔE to the lowest computed polymorph in meV/atom: 10
D(E_F) in states/eV/cell: 3.5

---

> What is the M_tot in the third record?

0.1474 μB per atom

---

> Which value of D(E_F) does entry 4 give?

3.5 states/eV/cell

---

> Which of these has the lowest D(E_F)?

HfTaC2